Entry 1:
SbAsIrRu2: relaxed, PBE.

Structure (extended XYZ):
```
5
Lattice="4.7768 0.0000 0.0000 0.0000 5.0169 0.0000 0.0000 0.0000 4.7768" Properties=species:S:1:pos:R:3 pbc="T T T"
Sb 0.0000 0.0000 0.0000
As 0.0000 2.5084 0.0000
Ir 2.3884 2.5084 2.3884
Ru 0.0000 0.0000 2.3884
Ru 2.3884 0.0000 0.0000
```

Properties
Calculated total energy   -25.8 eV/cell
Raw formation energy   10.34 eV per formula unit
SG   No. 123
Total magnetic moment   1.43 μB per cell
Calculated density   8.57 Mg/m³

***

Entry 2:
Sm2As4Ir3Ru: relaxed, PBE.

Structure (extended XYZ):
```
10
Lattice="4.2898 0.0000 0.0000 0.0000 4.2898 0.0000 0.0000 0.0000 9.9928" Properties=species:S:1:pos:R:3 pbc="T T T"
Sm 2.1449 0.0000 2.4602
Sm 0.0000 2.1449 7.5326
As 2.1449 2.1449 0.0000
As 0.0000 0.0000 0.0000
As 2.1449 0.0000 6.3219
As 0.0000 2.1449 3.6708
Ir 0.0000 0.0000 4.9964
Ir 2.1449 0.0000 8.7587
Ir 0.0000 2.1449 1.2340
Ru 2.1449 2.1449 4.9964
```

Properties
Calculated total energy   -71.4 eV/cell
SG   No. 115
Total magnetic moment   0.00 μB per cell
Calculated density   11.54 Mg/m³

***

Entry 3:
Sn2AsIrRu: relaxed, PBE.

Structure (extended XYZ):
```
5
Lattice="5.1443 0.0000 0.0000 0.0000 4.4668 0.0000 0.0000 0.0000 5.1443" Properties=species:S:1:pos:R:3 pbc="T T T"
Ru 0.0000 2.2334 0.0000
As 0.0000 0.0000 0.0000
Ir 2.5721 2.2334 2.5721
Sn 0.0000 0.0000 2.5721
Sn 2.5721 0.0000 0.0000
```

Properties
Calculated total energy   -24.5 eV/cell
SG   No. 123
Total magnetic moment   0.00 μB per cell
Calculated density   8.51 Mg/m³